DFT (PBE with a Hubbard U) results for a relaxed MnRuO2 crystal.

- Magnetization: 0.30 μB/f.u.
- Distance to the lowest polymorph of the same formula: 1031 meV/atom
- Crystal system: tetragonal
- Theoretical density: 6.577 g/cm³
- D(E_F): 2.99 states/eV/f.u.

Structure (CIF):
```
data_MnRuO2
_cell_length_a 4.519
_cell_length_b 4.519
_cell_length_c 9.297
_cell_angle_alpha 90.00
_cell_angle_beta 90.00
_cell_angle_gamma 90.00
_symmetry_space_group_name_H-M 'I -4 2 d'
_symmetry_Int_Tables_number 122
_symmetry_space_group_name_Hall 'I -4 2bw'
loop_
_atom_site_label
_atom_site_fract_x
_atom_site_fract_y
_atom_site_fract_z
_atom_site_occupancy
Mn1 0.000 0.000 0.000 1
Ru1 0.000 0.000 0.500 1
O1 0.217 0.250 0.125 1
```